{
  "formula": "AcY2Bi",
  "functional": "PBE-GGA",
  "state": "relaxed",
  "vol_a3_per_fu": 132,
  "dft_energy_ha_per_atom": -0.205,
  "total_magnetization_mub_per_cell": 0.001,
  "e_form_ev_per_atom": -0.36,
  "e_above_lowest_polymorph_kj_per_mol_fu": 0,
  "lattice_angstrom": [[4.063, 0.000, 0.000], [0.000, 4.063, 0.000], [0.000, 0.000, 7.973]],
  "species": ["Ac", "Y", "Y", "Bi"],
  "frac_coords": [[0.000, 0.000, 0.000], [0.500, 0.500, 0.290], [0.500, 0.500, 0.710], [0.000, 0.000, 0.500]]
}



{
  "formula": "Na2ThBr8",
  "functional": "PBE-GGA",
  "state": "relaxed",
  "vol_a3_per_fu": 486,
  "e_form_raw_ev_per_fu": -14.41,
  "dft_energy_ha_per_atom": -0.126,
  "total_magnetization_mub_per_cell": 0.000,
  "lattice_angstrom": [[6.338, -5.943, 0.000], [6.338, 5.943, 0.000], [-4.218, 0.000, 6.448]],
  "species": ["Na", "Na", "Th", "Br", "Br", "Br", "Br", "Br", "Br", "Br", "Br"],
  "frac_coords": [[0.164, 0.164, 0.128], [0.836, 0.836, 0.872], [0.000, 0.000, 0.500], [0.109, 0.787, 0.718], [0.213, 0.891, 0.282], [0.259, 0.259, 0.841], [0.438, 0.438, 0.314], [0.562, 0.562, 0.686], [0.741, 0.741, 0.159], [0.787, 0.109, 0.718], [0.891, 0.213, 0.282]]
}



{
  "formula": "MgInHg2",
  "functional": "PBE-GGA",
  "state": "relaxed",
  "vol_a3_per_fu": 95,
  "dft_energy_ha_per_atom": -0.049,
  "total_magnetization_mub_per_cell": 0.000,
  "e_form_ev_per_atom": -0.09,
  "lattice_angstrom": [[3.369, 0.000, 0.000], [0.000, 4.129, 0.000], [-0.117, 0.000, 6.839]],
  "species": ["Mg", "In", "Hg", "Hg"],
  "frac_coords": [[0.000, 0.000, 0.000], [0.000, 0.000, 0.500], [0.487, 0.500, 0.232], [0.513, 0.500, 0.768]]
}



{
  "formula": "Ho5Tm2Te4",
  "functional": "PBE-GGA",
  "state": "relaxed",
  "vol_a3_per_fu": 346,
  "e_form_raw_ev_per_fu": -6.43,
  "dft_energy_ha_per_atom": -0.170,
  "total_magnetization_mub_per_cell": 1.404,
  "lattice_angstrom": [[11.738, -1.923, 0.000], [11.738, 1.923, 0.000], [-0.587, 0.000, 7.673]],
  "species": ["Ho", "Ho", "Ho", "Ho", "Ho", "Tm", "Tm", "Te", "Te", "Te", "Te"],
  "frac_coords": [[0.000, 0.000, 0.000], [0.314, 0.314, 0.515], [0.347, 0.347, 0.040], [0.653, 0.653, 0.960], [0.686, 0.686, 0.485], [0.447, 0.447, 0.360], [0.553, 0.553, 0.640], [0.225, 0.225, 0.203], [0.428, 0.428, 0.747], [0.572, 0.572, 0.253], [0.775, 0.775, 0.797]]
}



{
  "formula": "Th2In2Ru4C",
  "functional": "PBE-GGA",
  "state": "relaxed",
  "vol_a3_per_fu": 166,
  "dft_energy_ha_per_atom": -0.274,
  "total_magnetization_mub_per_cell": 0.000,
  "e_form_ev_per_atom": -0.05,
  "lattice_angstrom": [[-3.157, 3.157, 4.157], [3.157, -3.157, 4.157], [3.157, 3.157, -4.157]],
  "species": ["Th", "Th", "In", "In", "Ru", "Ru", "Ru", "Ru", "C"],
  "frac_coords": [[0.214, 0.214, 0.000], [0.786, 0.786, 0.000], [0.250, 0.750, 0.500], [0.750, 0.250, 0.500], [0.261, 0.261, 0.522], [0.261, 0.739, 0.000], [0.739, 0.261, 0.000], [0.739, 0.739, 0.478], [0.500, 0.500, 0.000]]
}



{
  "formula": "Y4PuAu5",
  "functional": "PBE-GGA",
  "state": "relaxed",
  "vol_a3_per_fu": 236,
  "dft_energy_ha_per_atom": -0.236,
  "total_magnetization_mub_per_cell": 5.671,
  "e_form_ev_per_atom": -0.77,
  "lattice_angstrom": [[3.584, 0.000, 0.000], [0.000, 3.584, 0.000], [0.000, 0.000, 18.356]],
  "species": ["Y", "Y", "Y", "Y", "Pu", "Au", "Au", "Au", "Au", "Au"],
  "frac_coords": [[0.000, 0.000, 0.099], [0.000, 0.000, 0.299], [0.000, 0.000, 0.701], [0.000, 0.000, 0.901], [0.000, 0.000, 0.500], [0.500, 0.500, 0.000], [0.500, 0.500, 0.198], [0.500, 0.500, 0.392], [0.500, 0.500, 0.608], [0.500, 0.500, 0.802]]
}